Version one
First-principles (SCAN) data for Ir2OsPt at its PBEsol-relaxed geometry, as listed in Alexandria via LeMat-Bulk.

Computed properties:
crystal system	orthorhombic
magnetization	0.0	μB per cell
D(E_F)	4.95	states/eV per cell

Unit cell a=2.688 b=2.688 c=9.435 alpha=90.00 beta=90.00 gamma=120.63
Fractional coordinates of all 4 atoms:
Ir: 0.000 0.000 0.000
Ir: 0.500 0.500 0.247
Os: 0.000 0.000 0.491
Pt: 0.500 0.500 0.745



Version two
First-principles (SCAN) data for Ir2OsPt at its PBEsol-relaxed geometry, as listed in Alexandria via LeMat-Bulk.

Computed properties:
crystal system	tetragonal
magnetization	0.0	μB per cell
D(E_F)	3.58	states/eV per cell

Unit cell a=4.715 b=4.715 c=4.715 alpha=131.96 beta=131.96 gamma=70.29
Fractional coordinates of all 4 atoms:
Ir: 0.250 0.750 0.500
Ir: 0.750 0.250 0.500
Os: 0.000 0.000 0.000
Pt: 0.500 0.500 0.000



What should be chosen as the least stable of them? Choose version one.



Version one
First-principles (SCAN) data for Ir2OsPt at its PBEsol-relaxed geometry, as listed in Alexandria via LeMat-Bulk.

Computed properties:
crystal system	tetragonal
magnetization	0.0	μB per cell
D(E_F)	3.52	states/eV per cell

Unit cell a=2.712 b=2.712 c=7.756 alpha=90.00 beta=90.00 gamma=90.00
Fractional coordinates of all 4 atoms:
Ir: 0.000 0.000 0.000
Ir: 0.500 0.500 0.248
Os: 0.000 0.000 0.487
Pt: 0.500 0.500 0.740



Version two
First-principles (SCAN) data for Ir2OsPt at its PBEsol-relaxed geometry, as listed in Alexandria via LeMat-Bulk.

Computed properties:
crystal system	trigonal
magnetization	0.0	μB per cell
D(E_F)	3.34	states/eV per cell

Unit cell a=9.047 b=9.047 c=9.047 alpha=17.28 beta=17.28 gamma=17.28
Fractional coordinates of all 4 atoms:
Ir: 0.247 0.247 0.247
Ir: 0.753 0.753 0.753
Os: 0.500 0.500 0.500
Pt: 0.000 0.000 0.000



What should be chosen as the least stable of them? Choose version one.



Version one
First-principles (SCAN) data for Ir2OsPt at its PBEsol-relaxed geometry, as listed in Alexandria via LeMat-Bulk.

Computed properties:
crystal system	tetragonal
magnetization	0.0	μB per cell
D(E_F)	3.74	states/eV per cell

Unit cell a=4.727 b=4.727 c=4.727 alpha=132.18 beta=132.18 gamma=69.95
Fractional coordinates of all 4 atoms:
Ir: 0.000 0.000 0.000
Ir: 0.750 0.250 0.500
Os: 0.500 0.500 0.000
Pt: 0.250 0.750 0.500



Version two
First-principles (SCAN) data for Ir2OsPt at its PBEsol-relaxed geometry, as listed in Alexandria via LeMat-Bulk.

Computed properties:
crystal system	tetragonal
magnetization	0.0	μB per cell
D(E_F)	3.52	states/eV per cell

Unit cell a=2.715 b=2.715 c=7.735 alpha=90.00 beta=90.00 gamma=90.00
Fractional coordinates of all 4 atoms:
Ir: 0.000 0.000 0.239
Ir: 0.000 0.000 0.761
Os: 0.500 0.500 0.000
Pt: 0.500 0.500 0.500



Version three
First-principles (SCAN) data for Ir2OsPt at its PBEsol-relaxed geometry, as listed in Alexandria via LeMat-Bulk.

Computed properties:
crystal system	monoclinic
magnetization	0.0	μB per cell
D(E_F)	2.99	states/eV per cell

Unit cell a=4.715 b=4.715 c=4.713 alpha=99.39 beta=99.39 gamma=33.43
Fractional coordinates of all 4 atoms:
Ir: 0.246 0.246 0.243
Ir: 0.754 0.754 0.757
Os: 0.500 0.500 0.000
Pt: 0.000 0.000 0.500



What should be chosen as the least stable of them? Choose version one.